First-principles (PBE) data for CaPr5Ho4 after structural relaxation, as listed in the Alexandria database.

E = -4.395 eV/atom
formation enthalpy at 0 K = 26 meV per atom
space-group type = P4/mmm (123)

Cell: 3.655 3.655 25.806 Å, 90.00 90.00 90.00°
Positions (direct):
Ca 0.000 0.000 0.000
Pr 0.500 0.500 0.110
Pr 0.500 0.500 0.305
Pr 0.500 0.500 0.500
Pr 0.500 0.500 0.695
Pr 0.500 0.500 0.890
Ho 0.000 0.000 0.205
Ho 0.000 0.000 0.402
Ho 0.000 0.000 0.598
Ho 0.000 0.000 0.795

***

First-principles (PBE) data for Ca2Pr5Ho after structural relaxation, as listed in the Alexandria database.

E = -4.023 eV/atom
formation enthalpy at 0 K = 37 meV per atom
space-group type = I4/mmm (139)

Cell: 11.315 11.315 11.315 Å, 153.25 153.25 38.20°
Positions (direct):
Ca 0.250 0.250 0.000
Ca 0.750 0.750 0.000
Pr 0.000 0.000 0.000
Pr 0.118 0.618 0.500
Pr 0.382 0.882 0.500
Pr 0.618 0.118 0.500
Pr 0.882 0.382 0.500
Ho 0.500 0.500 0.000

***

First-principles (PBE) data for CaPr12Ho2 after structural relaxation, as listed in the Alexandria database.

E = -4.420 eV/atom
formation enthalpy at 0 K = 147 meV per atom
space-group type = Cmme (67)

Cell: 6.917 6.917 25.650 Å, 90.00 90.00 116.83°
Positions (direct):
Ca 0.250 0.750 0.999
Ca 0.750 0.250 0.001
Pr 0.002 0.502 0.861
Pr 0.002 0.998 0.081
Pr 0.020 0.520 0.416
Pr 0.025 0.975 0.559
Pr 0.250 0.250 0.203
Pr 0.250 0.250 0.327
Pr 0.250 0.250 0.673
Pr 0.250 0.250 0.797
Pr 0.475 0.525 0.559
Pr 0.480 0.980 0.416
Pr 0.498 0.502 0.081
Pr 0.498 0.998 0.861
Pr 0.502 0.002 0.139
Pr 0.502 0.498 0.919
Pr 0.520 0.020 0.584
Pr 0.525 0.475 0.441
Pr 0.750 0.750 0.203
Pr 0.750 0.750 0.327
Pr 0.750 0.750 0.673
Pr 0.750 0.750 0.797
Pr 0.975 0.025 0.441
Pr 0.980 0.480 0.584
Pr 0.998 0.002 0.919
Pr 0.998 0.498 0.139
Ho 0.250 0.750 0.271
Ho 0.250 0.750 0.725
Ho 0.750 0.250 0.275
Ho 0.750 0.250 0.729

***

First-principles (PBE) data for CaPr4Ho3 after structural relaxation, as listed in the Alexandria database.

E = -4.317 eV/atom
formation enthalpy at 0 K = 40 meV per atom
space-group type = Pmn2_1 (31)

Cell: 7.288 7.307 10.292 Å, 90.00 90.00 90.00°
Positions (direct):
Ca 0.000 0.000 0.000
Ca 0.500 0.000 0.500
Pr 0.000 0.000 0.500
Pr 0.000 0.500 0.500
Pr 0.250 0.256 0.250
Pr 0.250 0.744 0.750
Pr 0.500 0.000 0.000
Pr 0.500 0.500 0.000
Pr 0.750 0.256 0.250
Pr 0.750 0.744 0.750
Ho 0.000 0.500 0.000
Ho 0.250 0.259 0.750
Ho 0.250 0.741 0.250
Ho 0.500 0.500 0.500
Ho 0.750 0.259 0.750
Ho 0.750 0.741 0.250

***

First-principles (PBE) data for CaPrHo2 after structural relaxation, as listed in the Alexandria database.

distance to the lowest polymorph of the same formula = 5.7 meV per atom
E = -3.911 eV/atom
formation enthalpy at 0 K = 73 meV per atom
space-group type = R-3m (166)

Cell: 12.235 12.235 12.235 Å, 17.12 17.12 17.12°
Positions (direct):
Ca 0.000 0.000 0.000
Pr 0.500 0.500 0.500
Ho 0.247 0.247 0.247
Ho 0.753 0.753 0.753

***

First-principles (PBE) data for CaPr7Ho3 after structural relaxation, as listed in the Alexandria database.

E = -4.265 eV/atom
formation enthalpy at 0 K = 207 meV per atom
space-group type = P3m1 (156)

Cell: 7.288 7.288 8.788 Å, 90.00 90.00 120.00°
Positions (direct):
Ca 0.000 0.000 0.000
Pr 0.169 0.339 0.341
Pr 0.169 0.831 0.341
Pr 0.501 0.002 0.985
Pr 0.501 0.499 0.985
Pr 0.661 0.831 0.341
Pr 0.667 0.333 0.318
Pr 0.998 0.499 0.985
Ho 0.337 0.169 0.657
Ho 0.831 0.169 0.657
Ho 0.831 0.663 0.657

***

First-principles (PBE) data for CaPrHo2 after structural relaxation, as listed in the Alexandria database.

distance to the lowest polymorph of the same formula = 9.1 meV per atom
E = -3.908 eV/atom
formation enthalpy at 0 K = 77 meV per atom
space-group type = P-6m2 (187)

Cell: 3.667 3.667 11.943 Å, 90.00 90.00 120.00°
Positions (direct):
Ca 0.000 0.000 0.000
Pr 0.000 0.000 0.500
Ho 0.333 0.667 0.258
Ho 0.333 0.667 0.742

***

First-principles (PBE) data for CaPr4Ho4 after structural relaxation, as listed in the Alexandria database.

E = -4.342 eV/atom
formation enthalpy at 0 K = 39 meV per atom
space-group type = I4/mmm (139)

Cell: 8.144 8.144 8.144 Å, 95.73 95.73 143.16°
Positions (direct):
Ca 0.000 0.000 0.000
Pr 0.328 0.328 0.655
Pr 0.328 0.672 0.000
Pr 0.672 0.328 0.000
Pr 0.672 0.672 0.345
Ho 0.000 0.340 0.340
Ho 0.000 0.660 0.660
Ho 0.340 0.000 0.340
Ho 0.660 0.000 0.660

***

First-principles (PBE) data for CaPr5Ho3 after structural relaxation, as listed in the Alexandria database.

E = -4.331 eV/atom
formation enthalpy at 0 K = 72 meV per atom
space-group type = Cmcm (63)

Cell: 10.051 10.051 7.142 Å, 90.00 90.00 59.96°
Positions (direct):
Ca 0.186 0.814 0.750
Ca 0.814 0.186 0.250
Pr 0.136 0.498 0.750
Pr 0.156 0.844 0.250
Pr 0.198 0.494 0.250
Pr 0.494 0.198 0.750
Pr 0.498 0.136 0.250
Pr 0.502 0.864 0.750
Pr 0.506 0.802 0.250
Pr 0.802 0.506 0.750
Pr 0.844 0.156 0.750
Pr 0.864 0.502 0.250
Ho 0.166 0.166 0.000
Ho 0.166 0.166 0.500
Ho 0.500 0.500 0.000
Ho 0.500 0.500 0.500
Ho 0.834 0.834 0.000
Ho 0.834 0.834 0.500

***

First-principles (PBE) data for CaPr2HoS4 after structural relaxation, as listed in the Alexandria database.

E = -6.109 eV/atom
formation energy without anion corrections = -1565 kJ/mol of formula units
space-group type = P2/m (10)

Cell: 6.935 3.992 7.056 Å, 90.00 108.93 90.00°
Positions (direct):
Ca 0.000 0.000 0.000
Pr 0.000 0.500 0.500
Pr 0.500 0.000 0.500
Ho 0.500 0.500 0.000
S 0.249 0.500 0.235
S 0.259 0.000 0.768
S 0.741 0.000 0.232
S 0.751 0.500 0.765

***

First-principles (PBE) data for Ca3Pr3HoS8 after structural relaxation, as listed in the Alexandria database.

E = -5.935 eV/atom
formation energy without anion corrections = -2999 kJ/mol of formula units
space-group type = R-3m (166)

Cell: 8.123 8.123 8.123 Å, 59.92 59.92 59.92°
Positions (direct):
Ca 0.000 0.500 0.500
Ca 0.500 0.000 0.500
Ca 0.500 0.500 0.000
Pr 0.000 0.000 0.500
Pr 0.000 0.500 0.000
Pr 0.500 0.000 0.000
Ho 0.500 0.500 0.500
S 0.253 0.253 0.253
S 0.260 0.260 0.737
S 0.260 0.737 0.260
S 0.263 0.740 0.740
S 0.737 0.260 0.260
S 0.740 0.263 0.740
S 0.740 0.740 0.263
S 0.747 0.747 0.747

***

First-principles (PBE) data for Ca2PrHoS4 after structural relaxation, as listed in the Alexandria database.

E = -5.775 eV/atom
formation energy without anion corrections = -1576 kJ/mol of formula units
space-group type = P2/m (10)

Cell: 6.916 3.984 7.014 Å, 90.00 109.08 90.00°
Positions (direct):
Ca 0.000 0.000 0.000
Ca 0.500 0.500 0.000
Pr 0.000 0.500 0.500
Ho 0.500 0.000 0.500
S 0.260 0.500 0.253
S 0.261 0.000 0.754
S 0.739 0.000 0.246
S 0.740 0.500 0.747

***

> Look up the E of the eleventh one.

-5.935 eV/atom

***

> Which value of E does entry 2 give?

-4.023 eV/atom

***

> What is the formula in the eleventh record?

Ca3Pr3HoS8